Below is an optimized crystal structure of TmFeAgF6, with properties calculated at the GGA+U level.

Output
electronic total energy: -5.40 eV/atom

extended XYZ file:
```
18
Lattice="5.740 0.000 0.000 -2.870 4.971 0.000 0.000 0.000 10.067" Properties=species:S:1:pos:R:3 pbc="T T T"
F 3.894 3.131 8.656
F 2.105 0.033 6.445
F 1.846 3.131 6.445
F 0.765 4.938 3.622
F -1.789 3.164 3.622
F -0.765 4.938 1.411
F 1.789 3.164 1.411
F 1.024 1.840 3.622
F 1.081 1.807 8.656
F 3.635 0.033 8.656
F -1.024 1.840 1.411
F 4.659 1.807 6.445
Ag 0.000 0.000 5.033
Ag 0.000 0.000 0.000
Fe 2.870 1.657 7.550
Fe 0.000 3.314 2.517
Tm 0.000 3.314 7.550
Tm 2.870 1.657 2.517
```